10
Lattice="6.7159 0.0000 0.0000 0.0000 6.7159 0.0000 0.0000 0.0000 4.9716" Properties=species:S:1:pos:R:3 comment="Li2Y2Zn (PBE-GGA, relaxed)" polymorph_energy_mev_per_atom=14 mass_density_g_cm3=3.81 pbc="T T T"
Zn 3.3580 3.3580 0.0000
Zn 0.0000 0.0000 0.0000
Y 5.4746 2.1166 2.4858
Y 2.1166 1.2413 2.4858
Y 1.2413 4.5993 2.4858
Y 4.5993 5.4746 2.4858
Li 4.2397 0.8817 0.0000
Li 0.8817 2.4762 0.0000
Li 5.8342 4.2397 0.0000
Li 2.4762 5.8342 0.0000